Below is crystalline V3Ni5 at its relaxed geometry, with properties calculated at the PBE level.

Lattice parameters (Å, degrees): 3.4984 5.1535 10.3084 90.00 90.00 90.00
Fractional positions:
Ni 0.5000 0.2556 0.8734
Ni 0.0000 0.0076 0.7489
Ni 0.5000 0.2444 0.3734
Ni 0.5000 0.7556 0.6266
Ni 0.0000 0.5000 0.0000
Ni 0.0000 0.0000 0.5000
Ni 0.0000 0.9924 0.2511
Ni 0.0000 0.5076 0.7511
Ni 0.0000 0.4924 0.2489
Ni 0.5000 0.7444 0.1266
V 0.5000 0.7491 0.8741
V 0.0000 0.5000 0.5000
V 0.5000 0.2509 0.1259
V 0.5000 0.7509 0.3741
V 0.0000 0.0000 0.0000
V 0.5000 0.2491 0.6259

Output
SG: Pbam (55)
Mass density: 8.0 g/cm³
Offset from the most stable computed form: 0.00 kcal/mol of atoms
V: 11.62 Å³/atom
ΔE_f: -0.1694 eV/atom
Magnetic moment: 0.00 μB/f.u.


Below is crystalline RuIBr4 at its relaxed geometry, with properties calculated at the PBE level.

Lattice parameters (Å, degrees): 6.7857 6.7855 6.7856 111.13 111.14 106.20
Each line ends with the local moment (μB).
Fractional positions:
Ru 0.5000 0.5000 0.0000  1.87
Br 0.7192 0.2733 0.9972  0.04
Br 0.2761 0.7220 0.0028  0.04
Br 0.7267 0.7239 0.4459  0.04
Br 0.2780 0.2809 0.5541  0.04
I 0.7500 0.2500 0.5000  -0.31

Output
SG: I-4 (82)
Mass density: 3.8 g/cm³
V: 39.99 Å³/atom
Raw formation energy: 83 kJ/mol of formula units
Magnetic moment: 1.84 μB/f.u.


Below is crystalline RbHgPt4 at its relaxed geometry, with properties calculated at the PBE level.

Lattice parameters (Å, degrees): 5.5154 5.5154 5.5154 60.00 60.00 60.00
Fractional positions:
Pt 0.6249 0.6249 0.1253
Pt 0.6249 0.1253 0.6249
Pt 0.6249 0.6249 0.6249
Pt 0.1253 0.6249 0.6249
Hg 0.2500 0.2500 0.2500
Rb 0.0000 0.0000 0.0000

Output
SG: F-43m (216)
Mass density: 14.9 g/cm³
V: 19.77 Å³/atom
ΔE_f: 0.0873 eV/atom
Magnetic moment: 0.00 μB/f.u.


Look up the magnetic moment of the second one. 1.84 μB/f.u.


Which value of V does entry 2 give? 39.99 Å³/atom